Below is a relaxed CaBeCr2 crystal, with properties calculated at the PBE-GGA level.

It has space group Immm (No. 71), with a = 3.0070 Å, b = 4.9002 Å, c = 9.4161 Å, α = 90.00°, β = 90.00° and γ = 90.00°. Symmetry generates all atoms from Ca at (0.0000, 0.0000, 0.0000), Be at (0.0000, 0.0000, 0.5000) and Cr at (0.0000, 0.5000, 0.2024).

Its size of the total moment is 13.4 Bohr magnetons per cell. The energy comes out at -21.82 eV per formula unit. The value obtained for the density of states at the Fermi level is 9.7 states/eV per cell. Its formation energy is 304 kJ/mol of formula units.



Below is a relaxed AcPm4NdS8 crystal, with properties calculated at the PBE-GGA level.

It has space group R3m (No. 160, hexagonal axes), with a = 8.3707 Å, b = 8.3707 Å, c = 20.5552 Å, α = 90.00°, β = 90.00° and γ = 120.00°. Symmetry generates all atoms from Ac at (0.0000, 0.0000, 0.0000), Pm at (0.0000, 0.0000, 0.7495), Pm at (0.1692, 0.3385, 0.2074), Nd at (0.0000, 0.0000, 0.3767), S at (0.0000, 0.0000, 0.1379), S at (0.0000, 0.0000, 0.6179), S at (0.0160, 0.5080, 0.1276) and S at (0.1834, 0.3667, 0.9531).

Its size of the total moment is 0.0 Bohr magnetons per cell. The energy comes out at -87.82 eV per formula unit. The value obtained for the density of states at the Fermi level is 26.7 states/eV per cell. The calculation puts the formation energy without anion corrections at -26.92 eV/f.u.



Below is a relaxed Er3Cd12Cu5 crystal, with properties calculated at the PBE-GGA level.

It has space group Ia-3d (No. 230), with a = 16.2158 Å, b = 16.2158 Å, c = 16.2158 Å, α = 90.00°, β = 90.00° and γ = 90.00°. Symmetry generates all atoms from Er at (0.0000, 0.2500, 0.1250), Cd at (0.0319, 0.0662, 0.6423), Cu at (0.0000, 0.0000, 0.0000) and Cu at (0.0000, 0.2500, 0.3750).

Its size of the total moment is 0.0 Bohr magnetons per cell. The energy comes out at -38.40 eV per formula unit. The value obtained for the density of states at the Fermi level is 97.5 states/eV per cell. Its formation energy is 651 kJ/mol of formula units.